BeTlCr2: single point on PBEsol structure, SCAN.

The structure in POSCAR format:
```
BeTlCr2
1.0
3.194 0.000 0.000
0.000 4.341 -0.028
-1.597 -1.382 3.964
Cr Tl Be
2 1 1
direct
0.273 0.347 0.546
0.727 0.653 0.454
0.500 0.000 0.000
0.000 0.500 0.000
```

Symmetry: C2/m
Final energy: -27.780 eV per atom
D(E_F): 1.9 states/eV per cell
Distance to the lowest polymorph of the same formula: 242.8 meV/atom



EuFe4P12: single point on PBEsol structure, SCAN.

The structure in POSCAR format:
```
EuFe4P12
1.0
6.680 0.000 0.000
-2.227 6.298 0.000
-2.227 -3.149 5.454
Eu Fe P
1 4 12
direct
0.000 0.000 0.000
0.000 0.500 0.000
0.000 0.000 0.500
0.500 0.500 0.500
0.500 0.000 0.000
0.152 0.648 0.800
0.152 0.352 0.505
0.848 0.648 0.495
0.648 0.800 0.152
0.495 0.848 0.648
0.848 0.352 0.200
0.352 0.505 0.152
0.800 0.152 0.648
0.352 0.200 0.848
0.200 0.848 0.352
0.648 0.495 0.848
0.505 0.152 0.352
```

Symmetry: Im-3
Final energy: -15.324 eV per atom
D(E_F): 5.1 states/eV per cell



Ba2PbCl: single point on PBEsol structure, SCAN.

The structure in POSCAR format:
```
Ba2PbCl
1.0
4.092 0.000 0.000
0.000 6.149 0.000
0.000 0.000 6.148
Pb Ba Cl
1 2 1
direct
0.249 0.500 0.000
0.747 0.000 0.000
0.750 0.500 0.500
0.754 0.000 0.500
```

Symmetry: Pmm2
Formation energy without anion corrections: -5.877 eV/f.u.
Final energy: -42.184 eV per atom
D(E_F): 1.6 states/eV per cell
Distance to the lowest polymorph of the same formula: 0.0 meV/atom



TePt2Se: single point on PBEsol structure, SCAN.

The structure in POSCAR format:
```
TePt2Se
1.0
-4.565 0.306 0.900
2.465 -0.467 3.931
1.574 3.876 -2.061
Pt Se Te
2 1 1
direct
0.500 0.500 0.000
0.500 0.000 0.500
0.000 0.500 0.500
0.000 0.000 0.000
```

Symmetry: I4/mmm
Formation energy without anion corrections: -0.331 eV/f.u.
Final energy: -49.512 eV per atom
D(E_F): 1.9 states/eV per cell
Distance to the lowest polymorph of the same formula: 345.0 meV/atom



CrNiP2: single point on PBEsol structure, SCAN.

The structure in POSCAR format:
```
CrNiP2
1.0
-0.077 3.560 -1.984
0.157 0.068 -4.072
-3.296 1.064 -2.149
Cr Ni P
1 1 2
direct
0.500 0.500 0.500
0.250 0.250 0.250
0.000 0.000 0.000
0.750 0.750 0.750
```

Symmetry: F-43m
Final energy: -13.512 eV per atom
D(E_F): 3.7 states/eV per cell



TlPCl3: single point on PBEsol structure, SCAN.

The structure in POSCAR format:
```
TlPCl3
1.0
4.996 0.000 0.000
0.000 10.522 0.000
0.000 0.000 22.347
Cl P Tl
24 8 8
direct
0.750 0.127 0.001
0.250 0.873 0.499
0.750 0.627 0.999
0.250 0.373 0.501
0.250 0.873 0.999
0.750 0.127 0.501
0.250 0.373 0.001
0.750 0.627 0.499
0.253 0.125 0.273
0.753 0.875 0.227
0.247 0.625 0.727
0.747 0.375 0.773
0.747 0.875 0.727
0.247 0.125 0.773
0.753 0.375 0.273
0.253 0.625 0.227
0.753 0.384 0.129
0.253 0.616 0.371
0.747 0.884 0.871
0.247 0.116 0.629
0.247 0.616 0.871
0.747 0.384 0.629
0.253 0.116 0.129
0.753 0.884 0.371
0.753 0.259 0.199
0.253 0.741 0.301
0.747 0.759 0.801
0.247 0.241 0.699
0.247 0.741 0.801
0.747 0.259 0.699
0.253 0.241 0.199
0.753 0.759 0.301
0.750 0.389 0.434
0.250 0.611 0.066
0.750 0.889 0.566
0.250 0.111 0.934
0.250 0.611 0.566
0.750 0.389 0.934
0.250 0.111 0.434
0.750 0.889 0.066
```

Symmetry: Pbca
Formation energy without anion corrections: -3.760 eV/f.u.
Final energy: -22.090 eV per atom
D(E_F): 4.4 states/eV per cell



CrRe14: single point on PBEsol structure, SCAN.

The structure in POSCAR format:
```
CrRe14
1.0
-1.607 4.651 0.658
-8.836 -3.125 0.511
0.893 -1.006 9.289
Cr Re
2 28
direct
0.000 0.000 0.000
0.500 0.500 0.500
0.000 0.407 0.593
0.000 0.593 0.407
0.500 0.907 0.907
0.500 0.093 0.093
0.000 0.137 0.534
0.000 0.863 0.466
0.500 0.966 0.637
0.500 0.034 0.363
0.500 0.363 0.034
0.500 0.637 0.966
0.000 0.534 0.137
0.000 0.466 0.863
0.000 0.063 0.257
0.000 0.937 0.743
0.500 0.243 0.563
0.500 0.757 0.437
0.500 0.437 0.757
0.500 0.563 0.243
0.000 0.257 0.063
0.000 0.743 0.937
0.249 0.318 0.318
0.249 0.682 0.682
0.749 0.182 0.818
0.749 0.818 0.182
0.251 0.182 0.818
0.251 0.818 0.182
0.751 0.318 0.318
0.751 0.682 0.682
```

Symmetry: P4_2/mnm
Final energy: -67.559 eV per atom
D(E_F): 22.1 states/eV per cell



Ta2NiPb: single point on PBEsol structure, SCAN.

The structure in POSCAR format:
```
Ta2NiPb
1.0
-1.946 2.125 -1.021
-2.471 -2.436 -0.360
-1.144 0.143 6.889
Ni Pb Ta
1 1 2
direct
0.150 0.000 0.442
0.320 0.500 0.739
0.956 0.000 0.038
0.573 0.500 0.281
```

Symmetry: Pm
Final energy: -56.059 eV per atom
D(E_F): 2.4 states/eV per cell